No. 1
{
  "formula": "Zn4Si2IrPt",
  "functional": "PBE",
  "state": "relaxed",
  "space_group": "P-6m2, No. 187",
  "energy_ev_per_atom": -4.232,
  "lattice_angstrom": [[4.1337, 0.0000, 0.0000], [-2.0668, 3.5799, 0.0000], [0.0000, 0.0000, 8.2150]],
  "species": ["Ir", "Pt", "Si", "Si", "Zn", "Zn", "Zn", "Zn"],
  "frac_coords": [[0.0000, 0.0000, 0.0000], [0.6667, 0.3333, 0.5000], [0.3333, 0.6667, 0.0000], [0.3333, 0.6667, 0.5000], [0.6667, 0.3333, 0.1699], [0.0000, 0.0000, 0.3226], [0.0000, 0.0000, 0.6774], [0.6667, 0.3333, 0.8301]]
}


No. 2
{
  "formula": "PrMg",
  "functional": "PBE",
  "state": "relaxed",
  "space_group": "Pmc2_1, No. 26",
  "energy_ev_per_atom": -3.156,
  "e_above_lowest_polymorph_kj_per_mol_atoms": 11.8,
  "lattice_angstrom": [[-0.8149, 5.1730, -2.9411], [-5.5516, -5.1538, -7.5268], [-4.7408, 0.8934, 2.8850]],
  "species": ["Mg", "Mg", "Mg", "Mg", "Mg", "Mg", "Pr", "Pr", "Pr", "Pr", "Pr", "Pr"],
  "frac_coords": [[0.9763, 0.3282, 0.0000], [0.4763, 0.5052, 0.0000], [0.5171, 0.8486, 0.0000], [0.0171, 0.9847, 0.0000], [0.8458, 0.8344, 0.5000], [0.3458, 0.9989, 0.5000], [0.4782, 0.1641, 0.0000], [0.9782, 0.6692, 0.0000], [0.8631, 0.1440, 0.5000], [0.3195, 0.3500, 0.5000], [0.8195, 0.4833, 0.5000], [0.3631, 0.6894, 0.5000]]
}


No. 3
{
  "formula": "PrMgAg",
  "functional": "PBE",
  "state": "relaxed",
  "space_group": "F-43m, No. 216",
  "energy_ev_per_atom": -2.840,
  "lattice_angstrom": [[-4.6103, -0.9415, 1.4181], [-2.7213, 3.5543, 2.0283], [-3.7772, 1.9245, -2.4863]],
  "species": ["Ag", "Mg", "Pr"],
  "frac_coords": [[0.2500, 0.2500, 0.2500], [0.0000, 0.0000, 0.0000], [0.7500, 0.7500, 0.7500]]
}


No. 4
{
  "formula": "TcSbIr2",
  "functional": "PBE",
  "state": "relaxed",
  "space_group": "F-43m, No. 216",
  "energy_ev_per_atom": -7.714,
  "lattice_angstrom": [[0.0000, 3.1850, 3.1850], [3.1850, 0.0000, 3.1850], [3.1850, 3.1850, 0.0000]],
  "species": ["Ir", "Ir", "Sb", "Tc"],
  "frac_coords": [[0.0000, 0.0000, 0.0000], [0.7500, 0.7500, 0.7500], [0.5000, 0.5000, 0.5000], [0.2500, 0.2500, 0.2500]]
}


No. 5
{
  "formula": "KW2",
  "functional": "PBE",
  "state": "relaxed",
  "space_group": "Fd-3m, No. 227",
  "energy_ev_per_atom": -3.888,
  "e_above_lowest_polymorph_kj_per_mol_atoms": 335.7,
  "lattice_angstrom": [[5.6163, 3.2426, 9.1714], [-5.6163, 3.2426, 9.1714], [0.0000, -6.4851, 9.1714]],
  "species": ["K", "K", "W", "W", "W", "W"],
  "frac_coords": [[0.1250, 0.1250, 0.1250], [0.8750, 0.8750, 0.8750], [0.0000, 0.0000, 0.0000], [0.5000, 0.0000, 0.0000], [0.0000, 0.5000, 0.0000], [0.0000, 0.0000, 0.5000]]
}


No. 6
{
  "formula": "La3Ga5Ni",
  "functional": "PBE",
  "state": "relaxed",
  "space_group": "P-62m, No. 189",
  "energy_ev_per_atom": -4.534,
  "lattice_angstrom": [[7.2126, 0.0000, 0.0000], [-3.6063, 6.2463, 0.0000], [0.0000, 0.0000, 4.4171]],
  "species": ["Ga", "Ga", "Ga", "Ga", "Ga", "La", "La", "La", "Ni"],
  "frac_coords": [[0.2272, 0.0000, 0.0000], [0.0000, 0.2272, 0.0000], [0.6667, 0.3333, 0.0000], [0.3333, 0.6667, 0.0000], [0.7728, 0.7728, 0.0000], [0.6005, 0.0000, 0.5000], [0.3995, 0.3995, 0.5000], [0.0000, 0.6005, 0.5000], [0.0000, 0.0000, 0.5000]]
}


No. 7
{
  "formula": "LuScAs",
  "functional": "PBE",
  "state": "relaxed",
  "space_group": "F-43m, No. 216",
  "energy_ev_per_atom": -5.866,
  "lattice_angstrom": [[3.8364, -0.6618, 2.4484], [-0.1635, 0.0737, 4.5955], [0.5638, -3.8924, 2.3837]],
  "species": ["As", "Lu", "Sc"],
  "frac_coords": [[0.0000, 0.0000, 0.0000], [0.2500, 0.2500, 0.2500], [0.7500, 0.7500, 0.7500]]
}


No. 8
{
  "formula": "BaNpNi",
  "functional": "PBE",
  "state": "relaxed",
  "space_group": "F-43m, No. 216",
  "energy_ev_per_atom": -5.476,
  "e_above_lowest_polymorph_kj_per_mol_atoms": 0.0,
  "lattice_angstrom": [[4.0080, -1.0019, -2.5238], [2.5968, -3.9490, 1.0485], [0.0561, -3.7450, -3.0674]],
  "species": ["Ba", "Ni", "Np"],
  "frac_coords": [[0.0000, 0.0000, 0.0000], [0.2500, 0.2500, 0.2500], [0.7500, 0.7500, 0.7500]]
}


No. 9
{
  "formula": "SbTeMo",
  "functional": "PBE",
  "state": "relaxed",
  "space_group": "F-43m, No. 216",
  "energy_ev_per_atom": -5.733,
  "e_above_lowest_polymorph_kj_per_mol_atoms": 0.0,
  "lattice_angstrom": [[0.0000, 3.3583, 3.3583], [3.3583, 0.0000, 3.3583], [3.3583, 3.3583, 0.0000]],
  "species": ["Mo", "Sb", "Te"],
  "frac_coords": [[0.0000, 0.0000, 0.0000], [0.2500, 0.2500, 0.2500], [0.7500, 0.7500, 0.7500]]
}


No. 10
{
  "formula": "BIr2",
  "functional": "PBE",
  "state": "relaxed",
  "space_group": "Fd-3m, No. 227",
  "energy_ev_per_atom": -6.306,
  "lattice_angstrom": [[0.0000, 3.6001, 3.6001], [3.6001, 0.0000, 3.6001], [3.6001, 3.6001, 0.0000]],
  "species": ["B", "B", "Ir", "Ir", "Ir", "Ir"],
  "frac_coords": [[0.0000, 0.0000, 0.0000], [0.2500, 0.2500, 0.2500], [0.6250, 0.6250, 0.1250], [0.6250, 0.1250, 0.6250], [0.1250, 0.6250, 0.6250], [0.6250, 0.6250, 0.6250]]
}


No. 11
{
  "formula": "Pr7BP2O17",
  "functional": "PBE",
  "state": "relaxed",
  "space_group": "P2_1/c, No. 14",
  "energy_ev_per_atom": -8.123,
  "lattice_angstrom": [[-6.8092, 0.5804, -1.0246], [-2.6024, -15.1259, 8.7270], [4.3022, 5.8040, 11.3426]],
  "species": ["B", "B", "B", "B", "O", "O", "O", "O", "O", "O", "O", "O", "O", "O", "O", "O", "O", "O", "O", "O", "O", "O", "O", "O", "O", "O", "O", "O", "O", "O", "O", "O", "O", "O", "O", "O", "O", "O", "O", "O", "O", "O", "O", "O", "O", "O", "O", "O", "O", "O", "O", "O", "O", "O", "O", "O", "O", "O", "O", "O", "O", "O", "O", "O", "O", "O", "O", "O", "O", "O", "O", "O", "P", "P", "P", "P", "P", "P", "P", "P", "Pr", "Pr", "Pr", "Pr", "Pr", "Pr", "Pr", "Pr", "Pr", "Pr", "Pr", "Pr", "Pr", "Pr", "Pr", "Pr", "Pr", "Pr", "Pr", "Pr", "Pr", "Pr", "Pr", "Pr", "Pr", "Pr", "Pr", "Pr"],
  "frac_coords": [[0.2503, 0.4324, 0.0001], [0.7497, 0.9324, 0.4999], [0.2503, 0.0676, 0.5001], [0.7497, 0.5676, 0.9999], [0.4025, 0.3788, 0.0015], [0.9107, 0.2666, 0.0106], [0.1426, 0.9348, 0.0569], [0.1559, 0.4194, 0.0706], [0.8011, 0.5120, 0.0789], [0.5625, 0.8659, 0.0915], [0.8255, 0.7675, 0.0950], [0.6370, 0.0413, 0.0980], [0.2046, 0.1445, 0.1211], [0.3154, 0.6085, 0.1224], [0.6340, 0.2444, 0.1256], [0.5755, 0.7420, 0.1904], [0.0368, 0.9707, 0.2035], [0.4109, 0.9949, 0.2245], [0.1292, 0.3325, 0.2290], [0.0444, 0.6322, 0.2377], [0.2938, 0.8611, 0.2388], [0.7062, 0.3611, 0.2612], [0.9556, 0.1322, 0.2623], [0.8708, 0.8325, 0.2710], [0.5891, 0.4949, 0.2755], [0.9632, 0.4707, 0.2965], [0.4245, 0.2420, 0.3096], [0.3660, 0.7444, 0.3744], [0.6846, 0.1085, 0.3776], [0.7954, 0.6445, 0.3789], [0.3630, 0.5413, 0.4020], [0.1745, 0.2675, 0.4050], [0.4375, 0.3659, 0.4085], [0.1989, 0.0120, 0.4211], [0.8441, 0.9194, 0.4294], [0.8574, 0.4348, 0.4431], [0.0893, 0.7666, 0.4894], [0.5975, 0.8788, 0.4985], [0.4025, 0.1212, 0.5015], [0.9107, 0.2334, 0.5106], [0.1426, 0.5652, 0.5569], [0.1559, 0.0806, 0.5706], [0.8011, 0.9880, 0.5789], [0.5625, 0.6341, 0.5915], [0.8255, 0.7325, 0.5950], [0.6370, 0.4587, 0.5980], [0.2046, 0.3555, 0.6211], [0.3154, 0.8915, 0.6224], [0.6340, 0.2556, 0.6256], [0.5755, 0.7580, 0.6904], [0.0368, 0.5293, 0.7035], [0.4109, 0.5051, 0.7245], [0.1292, 0.1675, 0.7290], [0.0444, 0.8678, 0.7377], [0.2938, 0.6389, 0.7388], [0.7062, 0.1389, 0.7612], [0.9556, 0.3678, 0.7623], [0.8708, 0.6675, 0.7710], [0.5891, 0.0051, 0.7755], [0.9632, 0.0293, 0.7965], [0.4245, 0.2580, 0.8096], [0.3660, 0.7556, 0.8744], [0.6846, 0.3915, 0.8776], [0.7954, 0.8555, 0.8789], [0.3630, 0.9587, 0.9020], [0.1745, 0.2325, 0.9050], [0.4375, 0.1341, 0.9085], [0.1989, 0.4880, 0.9211], [0.8441, 0.5806, 0.9294], [0.8574, 0.0652, 0.9431], [0.0893, 0.7334, 0.9894], [0.5975, 0.6212, 0.9985], [0.7087, 0.8027, 0.1609], [0.2245, 0.9375, 0.1833], [0.7755, 0.4375, 0.3167], [0.2913, 0.3027, 0.3391], [0.7087, 0.6973, 0.6609], [0.2245, 0.5625, 0.6833], [0.7755, 0.0625, 0.8167], [0.2913, 0.1973, 0.8391], [0.2826, 0.0558, 0.0084], [0.7813, 0.3674, 0.0720], [0.8159, 0.1534, 0.0741], [0.2878, 0.2778, 0.0993], [0.2008, 0.7250, 0.1771], [0.6892, 0.6039, 0.1965], [0.1983, 0.5166, 0.2106], [0.8017, 0.0166, 0.2894], [0.3108, 0.1039, 0.3035], [0.7992, 0.2250, 0.3229], [0.7122, 0.7778, 0.4007], [0.1841, 0.6534, 0.4259], [0.2187, 0.8674, 0.4280], [0.7174, 0.5558, 0.4916], [0.2826, 0.4442, 0.5084], [0.7813, 0.1326, 0.5720], [0.8159, 0.3466, 0.5741], [0.2878, 0.2222, 0.5993], [0.2008, 0.7750, 0.6771], [0.6892, 0.8961, 0.6965], [0.1983, 0.9834, 0.7106], [0.8017, 0.4834, 0.7894], [0.3108, 0.3961, 0.8035], [0.7992, 0.2750, 0.8229], [0.7122, 0.7222, 0.9007], [0.1841, 0.8466, 0.9259], [0.2187, 0.6326, 0.9280], [0.7174, 0.9442, 0.9916]]
}


No. 12
{
  "formula": "NaSc2IrO6",
  "functional": "PBE",
  "state": "relaxed",
  "space_group": "P2_1/c, No. 14",
  "energy_ev_per_atom": -7.450,
  "lattice_angstrom": [[5.2479, 0.0000, 0.0000], [0.0000, 5.5094, 0.0000], [-5.1355, 0.0000, 8.1299]],
  "species": ["Ir", "Ir", "Na", "Na", "O", "O", "O", "O", "O", "O", "O", "O", "O", "O", "O", "O", "Sc", "Sc", "Sc", "Sc"],
  "frac_coords": [[0.0000, 0.0000, 0.0000], [0.0000, 0.5000, 0.5000], [0.5000, 0.5000, 0.0000], [0.5000, 0.0000, 0.5000], [0.3398, 0.1646, 0.0157], [0.3071, 0.7481, 0.1430], [0.0357, 0.1658, 0.1939], [0.9643, 0.6658, 0.3061], [0.6929, 0.2481, 0.3570], [0.6602, 0.6646, 0.4843], [0.3398, 0.3354, 0.5157], [0.3071, 0.7519, 0.6430], [0.0357, 0.3342, 0.6939], [0.9643, 0.8342, 0.8061], [0.6929, 0.2519, 0.8570], [0.6602, 0.8354, 0.9843], [0.7026, 0.9764, 0.2097], [0.2974, 0.4764, 0.2903], [0.7026, 0.5236, 0.7097], [0.2974, 0.0236, 0.7903]]
}


What did the tenth record say?
{
  "formula": "BIr2",
  "functional": "PBE",
  "state": "relaxed",
  "space_group": "Fd-3m, No. 227",
  "energy_ev_per_atom": -6.306,
  "lattice_angstrom": [[0.0000, 3.6001, 3.6001], [3.6001, 0.0000, 3.6001], [3.6001, 3.6001, 0.0000]],
  "species": ["B", "B", "Ir", "Ir", "Ir", "Ir"],
  "frac_coords": [[0.0000, 0.0000, 0.0000], [0.2500, 0.2500, 0.2500], [0.6250, 0.6250, 0.1250], [0.6250, 0.1250, 0.6250], [0.1250, 0.6250, 0.6250], [0.6250, 0.6250, 0.6250]]
}


Which formula does entry 3 have?
PrMgAg